[1]
A relaxed structure of SrLi3Pb. Source: Alexandria via LeMat-Bulk, functional PBE-GGA.

## Properties
- Fermi-level density of states (states/eV/f.u.) = 2.0
- M_tot (μB/f.u.) = 0.00
- E_form (eV/atom) = -0.1491

Cell lengths 5.256, 5.256, 5.256 Å; angles 90.00, 90.00, 90.00 degrees
Space group Pm-3m (No. 221)
Asymmetric unit:
Sr1 0.000 0.000 0.000 x1
Li1 0.000 0.500 0.500 x3
Pb1 0.500 0.500 0.500 x1

***

[2]
A relaxed structure of RbSi2Sn2. Source: Alexandria via LeMat-Bulk, functional PBE-GGA.

## Properties
- ΔE_f (raw) (eV per atom) = 0.13
- Fermi-level density of states (states/eV/f.u.) = 2.3
- M_tot (μB/f.u.) = 0.00

Cell lengths 5.205, 5.205, 9.794 Å; angles 90.00, 90.00, 90.00 degrees
Space group I4/mmm (No. 139)
Asymmetric unit:
Rb1 0.000 0.000 0.000 x2
Si1 0.000 0.000 0.374 x4
Sn1 0.000 0.500 0.250 x4

***

[3]
A relaxed structure of CsGdI3. Source: Alexandria via LeMat-Bulk, functional PBE-GGA.

## Properties
- ΔE_f (raw) (eV per atom) = -1.33
- Fermi-level density of states (states/eV/f.u.) = 5.8
- M_tot (μB/f.u.) = 7.45

Cell lengths 6.202, 6.202, 6.202 Å; angles 90.00, 90.00, 90.00 degrees
Space group Pm-3m (No. 221)
Asymmetric unit:
Cs1 0.000 0.000 0.000 x1
Gd1 0.500 0.500 0.500 x1
I1 0.000 0.500 0.500 x3

***

[4]
A relaxed structure of CsMoP2S. Source: Alexandria via LeMat-Bulk, functional PBE-GGA.

## Properties
- ΔE_f (raw) (eV per atom) = -0.06
- Fermi-level density of states (states/eV/f.u.) = 5.1
- M_tot (μB/f.u.) = 0.00

Cell lengths 4.801, 4.801, 5.030 Å; angles 90.00, 90.00, 90.00 degrees
Space group P4/mmm (No. 123)
Asymmetric unit:
Cs1 0.000 0.000 0.000 x1
Mo1 0.500 0.500 0.500 x1
P1 0.000 0.500 0.500 x2
S1 0.500 0.500 0.000 x1

***

[5]
A relaxed structure of Hg3O. Source: Alexandria via LeMat-Bulk, functional PBE-GGA.

## Properties
- ΔE_f (raw) (eV per atom) = 0.03
- Fermi-level density of states (states/eV/f.u.) = 1.1
- M_tot (μB/f.u.) = 0.00

Cell lengths 4.027, 6.049, 4.446 Å; angles 90.00, 90.00, 90.00 degrees
Space group Pmm2 (No. 25)
Asymmetric unit:
Hg1 0.000 0.000 0.000 x1
Hg2 0.000 0.500 0.270 x1
Hg3 0.500 0.000 0.509 x1
O1 0.500 0.500 0.376 x1

***

[6]
A relaxed structure of Ce4TmSe6. Source: Alexandria via LeMat-Bulk, functional PBE-GGA.

## Properties
- ΔE_f (raw) (eV per atom) = -1.71
- Fermi-level density of states (states/eV/f.u.) = 29.3
- M_tot (μB/f.u.) = 5.42

Cell lengths 11.8379, 11.8379, 14.2061 Å; angles 90.00, 90.00, 120.00 degrees
Space group R-3c (No. 167, hexagonal axes)
Asymmetric unit:
Ce1 0.0000 0.0000 0.2500 x6
Ce2 0.0000 0.3838 0.2500 x18
Tm1 0.0000 0.0000 0.0000 x6
Se1 0.0298 0.2031 0.3868 x36

***

[7]
A relaxed structure of TbErNiAg. Source: Alexandria via LeMat-Bulk, functional PBE-GGA.

## Properties
- Fermi-level density of states (states/eV/f.u.) = 3.2
- M_tot (μB/f.u.) = 0.00
- E_form (eV/atom) = -0.3188

Cell lengths 7.015, 7.015, 7.015 Å; angles 90.00, 90.00, 90.00 degrees
Space group F-43m (No. 216)
Asymmetric unit:
Tb1 0.000 0.000 0.000 x4
Er1 0.000 0.000 0.500 x4
Ni1 0.250 0.250 0.250 x4
Ag1 0.250 0.250 0.750 x4

***

[8]
A relaxed structure of Zr2CoRh. Source: Alexandria via LeMat-Bulk, functional PBE-GGA.

## Properties
- Fermi-level density of states (states/eV/f.u.) = 3.5
- M_tot (μB/f.u.) = 0.91
- E_form (eV/atom) = -0.5038

Cell lengths 4.606, 4.606, 3.250 Å; angles 90.00, 90.00, 90.00 degrees
Space group P4/mmm (No. 123)
Asymmetric unit:
Zr1 0.000 0.500 0.000 x2
Co1 0.000 0.000 0.500 x1
Rh1 0.500 0.500 0.500 x1